No. 1
5
Lattice="4.0497 0.0000 0.0000 0.0000 4.0497 0.0000 -2.0249 -2.0249 5.2208" Properties=species:S:1:pos:R:3 comment="PBE NdFeReSi2, relaxed" sg="I-4m2, No. 119" e_form_raw_ev_per_atom=-0.51 pbc="T T T"
Re 0.0000 2.0249 2.6104
Fe 2.0249 0.0000 2.6104
Si 0.0000 0.0000 3.9202
Si 2.0249 2.0249 1.3007
Nd 0.0000 0.0000 0.0000

---

No. 2
20
Lattice="3.7849 0.0000 0.0000 0.0000 9.6981 0.0000 0.0000 0.0000 9.6981" Properties=species:S:1:pos:R:3 comment="PBE Nd2Fe2SnRh5, relaxed" sg="P4/mbm, No. 127" total_energy_ev_per_atom=-7.118 pbc="T T T"
Fe 0.0000 1.1430 5.9921
Fe 0.0000 8.5551 3.7061
Fe 0.0000 5.9921 8.5551
Fe 0.0000 3.7061 1.1430
Rh 1.8924 7.6255 9.0631
Rh 1.8924 4.8491 0.0000
Rh 1.8924 2.0726 0.6350
Rh 1.8924 9.0631 2.0726
Rh 1.8924 5.4841 6.9217
Rh 1.8924 6.9217 4.2141
Rh 1.8924 0.0000 4.8491
Rh 1.8924 4.2141 2.7764
Rh 1.8924 0.6350 7.6255
Rh 1.8924 2.7764 5.4841
Nd 0.0000 1.7411 3.1080
Nd 0.0000 7.9570 6.5901
Nd 0.0000 6.5901 1.7411
Nd 0.0000 3.1080 7.9570
Sn 0.0000 4.8491 4.8491
Sn 0.0000 0.0000 0.0000

---

No. 3
20
Lattice="3.7344 0.0000 0.0000 0.0000 9.5879 0.0000 0.0000 0.0000 9.5879" Properties=species:S:1:pos:R:3 comment="PBE Nd2ZnFe2Rh5, relaxed" sg="P4/mbm, No. 127" total_energy_ev_per_atom=-6.743 pbc="T T T"
Rh 1.8672 1.9794 0.5999
Rh 1.8672 4.1940 2.8145
Rh 1.8672 8.9880 1.9794
Rh 1.8672 0.0000 4.7939
Rh 1.8672 6.7734 4.1940
Rh 1.8672 5.3938 6.7734
Rh 1.8672 2.8145 5.3938
Rh 1.8672 4.7939 0.0000
Rh 1.8672 7.6084 8.9880
Rh 1.8672 0.5999 7.6084
Nd 0.0000 7.8590 6.5228
Nd 0.0000 1.7289 3.0651
Nd 0.0000 3.0651 7.8590
Nd 0.0000 6.5228 1.7289
Fe 0.0000 5.9313 8.4505
Fe 0.0000 1.1373 5.9313
Fe 0.0000 3.6566 1.1373
Fe 0.0000 8.4505 3.6566
Zn 0.0000 0.0000 0.0000
Zn 0.0000 4.7939 4.7939

---

No. 4
5
Lattice="4.1143 0.0000 0.0000 0.0000 4.1143 0.0000 -2.0571 -2.0571 4.9177" Properties=species:S:1:pos:R:3 comment="PBE NdFeSi2Ru, relaxed" sg="I-4m2, No. 119" e_form_raw_ev_per_atom=-0.73 pbc="T T T"
Si 0.0000 0.0000 3.5841
Si 2.0571 2.0571 1.3336
Fe 0.0000 2.0571 2.4588
Ru 2.0571 0.0000 2.4588
Nd 0.0000 0.0000 0.0000

---

No. 5
24
Lattice="-6.3179 -0.6219 2.4974 1.1282 -10.5824 0.2189 3.5138 -5.0999 7.6191" Properties=species:S:1:pos:R:3 comment="PBE Nd4FeS7, relaxed" sg="P2_1, No. 4" e_form_raw_ev_per_atom=-1.66 pbc="T T T"
S -3.9544 -7.9841 5.9803
S -0.4309 -8.5868 5.4262
S 2.4841 -7.5697 7.3781
S 1.5909 -3.5837 3.5644
S 1.0161 -10.7765 2.8077
S -1.5135 -5.4117 7.0619
S -2.6679 -10.8597 7.5748
S -3.0210 -8.6224 2.5071
S 0.2029 -6.3116 0.3819
S -0.4009 -12.4384 5.6382
S 3.0939 -14.6747 7.5469
S -1.0773 -5.6482 3.5787
S -3.8989 -1.5438 2.4443
S 0.3035 -9.7778 9.0909
Nd 1.3575 -10.4048 6.5863
Nd -0.2131 -8.1465 2.4449
Nd -1.7027 -8.1813 7.9855
Nd -1.7072 -13.4759 8.0762
Nd -1.1718 -2.9467 2.7349
Nd 0.8846 -5.8393 5.4363
Nd -2.5563 -10.4645 4.8975
Nd -3.7686 -5.9718 4.0398
Fe 0.0557 -0.5359 0.3730
Fe 1.1795 -15.4817 8.8118

---

No. 6
17
Lattice="-3.6964 -1.9277 6.7695 7.0985 -3.5710 -0.2531 0.9854 7.8820 -0.3297" Properties=species:S:1:pos:R:3 comment="PBE NdFe4Sb12, relaxed" sg="Im-3, No. 204" e_form_raw_ev_per_atom=-0.19 pbc="T T T"
Sb 4.8784 -2.2807 1.9948
Sb 3.2558 0.5478 0.8641
Sb -1.5463 0.4073 5.5157
Sb 3.9803 -0.3081 4.1282
Sb 1.8241 -2.6926 5.3841
Sb 0.4073 2.6914 2.0585
Sb -0.4909 4.6640 4.1919
Sb 1.1318 1.8355 5.3226
Sb 3.6906 3.2542 2.9614
Sb 0.6970 -0.8709 3.2253
Sb 2.5635 5.0758 0.8026
Sb 5.9339 1.9760 0.6710
Nd 0.0000 0.0000 0.0000
Fe 3.5493 -1.7855 -0.1266
Fe 0.4927 3.9410 -0.1649
Fe 2.1938 1.1916 3.0933
Fe -1.8482 -0.9638 3.3848

---

No. 7
26
Lattice="6.6484 -11.5154 0.0000 6.6484 11.5154 0.0000 0.0000 0.0000 4.2046" Properties=species:S:1:pos:R:3 comment="PBE Nd3Fe3Sb7, relaxed" sg="P6_3/m, No. 176" e_form_raw_ev_per_atom=-0.55 pbc="T T T"
Sb 5.9568 8.3920 1.0512
Sb 5.6175 0.2680 3.1535
Sb 3.0409 -4.7309 1.0512
Sb 7.6793 -0.2680 1.0512
Sb 9.2251 -6.5165 1.0512
Sb 7.3400 -8.3920 3.1535
Sb 10.2560 4.7309 3.1535
Sb 2.3591 -2.1606 3.1535
Sb 3.0507 0.9627 1.0512
Sb 4.0718 6.5165 3.1535
Sb 6.6484 3.8385 1.0512
Sb 10.9377 2.1606 1.0512
Sb 6.6484 -3.8385 3.1535
Sb 10.2461 -0.9627 3.1535
Nd 4.9119 -2.1066 1.0512
Nd 8.3849 2.1066 3.1535
Nd 6.0168 -6.2083 1.0512
Nd 9.0165 -3.2006 1.0512
Nd 7.2800 6.2083 3.1535
Nd 4.2803 3.2006 3.1535
Fe 12.1240 0.8578 3.1535
Fe 6.4920 10.0708 3.1535
Fe 1.3293 0.5868 3.1535
Fe 1.1729 -0.8578 1.0512
Fe 11.9675 -0.5868 1.0512
Fe 6.8049 -10.0708 1.0512

---

No. 8
40
Lattice="13.0088 -0.0075 0.0000 8.0208 10.2419 0.0000 -10.5148 -5.1172 5.6993" Properties=species:S:1:pos:R:3 comment="PBE Nd6Fe13Sb, relaxed" sg="I4/mcm, No. 140" e_form_raw_ev_per_atom=-0.12 pbc="T T T"
Fe 13.7295 3.5124 1.5526
Fe 2.4821 -1.9613 4.8862
Fe 0.3563 -0.7321 1.5738
Fe 11.8031 7.4708 2.8497
Fe 9.7941 1.5972 1.5526
Fe 12.3201 1.4076 0.8142
Fe 0.8793 1.3322 2.8497
Fe 10.1585 5.8493 1.5738
Fe 7.8677 5.5556 2.8497
Fe -1.8053 3.7096 4.8851
Fe 2.6471 -0.4384 2.8497
Fe 0.7207 3.5199 4.1467
Fe 10.5029 8.2806 0.8131
Fe 11.2035 3.7021 0.8142
Fe 8.0327 7.0784 0.8131
Fe 1.2470 -2.5623 2.8497
Fe -1.2883 -2.3537 2.8497
Fe 10.1585 5.8493 4.1256
Fe 0.0119 -3.1634 4.8862
Fe -1.2470 2.5623 2.8497
Fe 9.6355 3.7850 2.8497
Fe -3.2147 1.6047 4.1467
Fe -0.6887 1.4151 4.8851
Fe -1.5909 0.1300 2.8497
Fe 12.1057 4.9872 2.8497
Fe 0.3563 -0.7321 4.1256
Nd 5.1394 -0.6680 0.9944
Nd 1.8336 6.1249 2.8497
Nd 8.6812 -1.0077 2.8497
Nd 5.3754 5.7852 4.7049
Nd 5.3754 5.7852 0.9944
Nd 5.1394 -0.6680 4.7049
Nd 7.0575 2.3287 2.8497
Nd 8.3238 4.0509 0.0000
Nd 3.4573 2.7884 2.8497
Nd 2.1911 1.0663 0.0000
Nd 12.7059 6.1835 0.0000
Nd 18.8386 9.1680 0.0000
Sb 5.2574 2.5586 0.0000
Sb 15.7722 7.6758 0.0000

---

No. 9
4
Lattice="-3.0335 0.5685 0.8902 -0.9508 -2.6490 -1.5481 1.2312 -4.6166 7.1437" Properties=species:S:1:pos:R:3 comment="PBE NdSc2Fe, relaxed" sg="P4/mmm, No. 123" total_energy_ev_per_atom=-6.511 pbc="T T T"
Sc 1.0202 -3.8256 5.9196
Sc 0.2110 -0.7910 1.2241
Fe -1.9921 -1.0402 -0.3289
Nd -1.3766 -3.3485 3.2429

---

No. 10
12
Lattice="4.7841 0.0000 1.4442 2.1741 4.2616 1.4442 -0.0192 -0.0118 8.7098" Properties=species:S:1:pos:R:3 comment="PBE NdSc3Fe8, relaxed" sg="R3m, No. 160" total_energy_ev_per_atom=-7.780 pbc="T T T"
Fe 4.1490 4.0153 3.5479
Fe 1.2864 0.7878 4.3848
Fe 6.5015 3.9819 8.7617
Fe 4.7716 2.9224 10.1317
Fe 5.4622 1.8712 3.5479
Fe 4.0887 3.9819 8.0333
Fe 3.0552 1.8712 2.8213
Fe 5.4050 1.8326 8.0333
Sc -0.0038 -0.0023 8.6585
Sc 2.5911 1.5869 8.7087
Sc 3.4465 2.1109 5.8750
Nd 6.0842 3.7263 5.7835

---

No. 11
4
Lattice="-0.0404 2.5167 2.6610 -2.5221 2.6560 -0.0293 -6.1144 -3.2201 5.4737" Properties=species:S:1:pos:R:3 comment="PBE NdFeSe2, relaxed" sg="R-3m, No. 166" e_form_raw_ev_per_atom=-0.30 pbc="T T T"
Nd 0.0000 0.0000 0.0000
Se -4.3274 -1.5404 3.9122
Se -4.3495 3.4930 4.1932
Fe -4.3385 0.9763 4.0527

---

No. 12
18
Lattice="-2.1642 0.6061 -3.3952 -6.7084 -0.8863 4.1179 -0.1261 7.7826 1.4697" Properties=species:S:1:pos:R:3 comment="PBE NdFe4Si4, relaxed" sg="I4/m, No. 87" e_form_raw_ev_per_atom=-0.48 pbc="T T T"
Fe -3.0026 5.1620 -2.0474
Fe -7.2081 4.2804 2.9174
Fe -3.7870 6.9780 1.2180
Fe -8.1602 2.9465 0.8447
Fe -1.7905 3.2220 -0.7249
Fe -2.7089 0.5292 1.8211
Fe -4.1257 6.3671 3.7664
Fe -5.2118 0.5245 0.9742
Si -4.4996 6.4112 -0.8702
Si -5.9913 6.1544 2.4762
Si -3.0074 1.3480 -0.2838
Si -5.3426 4.4931 4.2076
Si -6.7087 1.7736 2.1514
Si -2.2900 5.7288 0.0409
Si -6.6633 1.6974 -0.3326
Si -1.4920 2.4032 1.3800
Nd -4.4994 3.7512 1.0962
Nd 0.0000 0.0000 0.0000

---

no.,density of states at the Fermi level (states/eV/cell),spin magnetization (μB per formula unit),theoretical density (g/cm³)
1,4.339,2.0,8.58
2,17.443,7.6,9.64
3,17.650,7.3,9.48
4,3.400,0.0,7.13
5,7.954,4.0,4.86
6,13.539,1.1,7.85
7,14.797,6.4,7.49
8,42.489,26.5,7.49
9,2.847,0.0,5.43
10,12.772,12.5,6.78
11,4.810,3.0,5.98
12,6.433,0.0,6.24